Entry 1:
Here is a relaxed BaCa2Os crystal from Alexandria. Energies are from PBE.

Values from the calculation:
SG = No. 225
ΔH_f (0 K) = 0.59 eV per atom
energy above the lowest structure with this stoichiometry = 0.186 eV/atom
DOS(E_F) = 1.85 states/eV/cell
uncorrected energy = -3.70 eV/atom

Cell: 5.387 5.387 5.387 Å, 60.00 60.00 60.00°
Positions (direct):
Ca 0.250 0.250 0.250
Ca 0.750 0.750 0.750
Os 0.500 0.500 0.500
Ba 0.000 0.000 0.000


Entry 2:
Here is a relaxed RbSCl2F crystal from Alexandria. Energies are from PBE.

Values from the calculation:
SG = No. 123
formation energy (no corrections) = 259.2 meV/atom
energy above the lowest structure with this stoichiometry = 0.796 eV/atom
DOS(E_F) = 21.55 states/eV/cell
uncorrected energy = -1.87 eV/atom

Cell: 6.304 6.304 7.179 Å, 90.00 90.00 90.00°
Positions (direct):
S 0.000 0.000 0.500
F 0.500 0.500 0.500
Rb 0.000 0.000 0.000
Cl 0.000 0.500 0.000
Cl 0.500 0.000 0.000